Material: YCrF2
Method: DFT, PBE with a Hubbard U
State: relaxed

DOS at the Fermi energy ... 1.4 states/eV/f.u.
SG ... Fm-3m, No. 225
ΔE to the lowest computed polymorph ... 1.728 eV per formula unit

Unit cell a=6.353 b=6.353 c=6.353 alpha=90.00 beta=90.00 gamma=90.00
Element x y z (fractional)
Y 0.000 0.000 0.000
Y 0.000 0.500 0.500
Y 0.500 0.000 0.500
Y 0.500 0.500 0.000
Cr 0.000 0.000 0.500
Cr 0.000 0.500 0.000
Cr 0.500 0.000 0.000
Cr 0.500 0.500 0.500
F 0.250 0.250 0.250
F 0.250 0.250 0.750
F 0.250 0.750 0.250
F 0.250 0.750 0.750
F 0.750 0.250 0.250
F 0.750 0.250 0.750
F 0.750 0.750 0.250
F 0.750 0.750 0.750